P:
Compound: TiHgPt3
Source: Alexandria via LeMat-Bulk
Functional: PBE
Structure: relaxed

Results
DOS at the Fermi energy in states/eV/atom: 3.035

Lattice parameters (Å, degrees): 4.9530 4.9530 4.9530 90.00 90.00 90.00
With the nearest neighbours (Å) after each atom.
Space group Pm-3m (No. 221)
Inequivalent atoms, fractional coordinates:
Ti: 0.0000 0.0000 0.0000 x1  12 Pt 3.50
Hg: 0.5000 0.5000 0.5000 x1  6 Pt 2.48
Pt: 0.0000 0.5000 0.5000 x3  2 Hg 2.48

Q:
Compound: TiHgPt3
Source: Alexandria via LeMat-Bulk
Functional: PBE
Structure: relaxed

Results
DOS at the Fermi energy in states/eV/atom: 0.767

Lattice parameters (Å, degrees): 4.7362 4.7362 4.7362 90.00 90.00 90.00
With the nearest neighbours (Å) after each atom.
Space group Pm-3m (No. 221)
Inequivalent atoms, fractional coordinates:
Ti: 0.0000 0.0000 0.0000 x1  6 Pt 2.37
Hg: 0.5000 0.5000 0.5000 x1  12 Pt 3.35
Pt: 0.0000 0.0000 0.5000 x3  2 Ti 2.37

Quick one: least stable of them? P

P:
Compound: TiHgPt
Source: Alexandria via LeMat-Bulk
Functional: PBE
Structure: relaxed

Results
DOS at the Fermi energy in states/eV/atom: 0.681

Lattice parameters (Å, degrees): 5.3852 7.6739 6.0494 90.00 90.00 90.00
With the nearest neighbours (Å) after each atom.
Space group Cmme (No. 67)
Inequivalent atoms, fractional coordinates:
Ti: 0.0000 0.2500 0.1792 x4  4 Pt 2.58, 1 Hg 2.80
Hg: 0.0000 0.2500 0.6429 x4  3 Ti 2.80-2.90
Pt: 0.2500 0.0000 0.0000 x4  4 Ti 2.58, 2 Pt 2.69

Q:
Compound: TiHgPt
Source: Alexandria via LeMat-Bulk
Functional: PBE
Structure: relaxed

Results
DOS at the Fermi energy in states/eV/atom: 0.655

Lattice parameters (Å, degrees): 2.8178 2.8178 15.1576 90.00 90.00 90.00
With the nearest neighbours (Å) after each atom.
Space group I4mm (No. 107)
Inequivalent atoms, fractional coordinates:
Ti: 0.0000 0.0000 0.0000 x2  1 Pt 2.36
Hg: 0.0000 0.0000 0.1894 x2  4 Hg 2.82, 1 Ti 2.87, 4 Pt 3.08
Pt: 0.0000 0.0000 0.8446 x2  1 Ti 2.36

Quick one: least stable of them? Q

P:
Compound: TlHg2Pt2
Source: Alexandria via LeMat-Bulk
Functional: PBE
Structure: relaxed

Results
DOS at the Fermi energy in states/eV/atom: 0.363

Lattice parameters (Å, degrees): 4.0194 4.0194 13.8472 90.00 90.00 90.00
With the nearest neighbours (Å) after each atom.
Space group I4/mmm (No. 139)
Inequivalent atoms, fractional coordinates:
Tl: 0.0000 0.0000 0.0000 x2  8 Hg 3.21
Hg: 0.0000 0.0000 0.3922 x4  4 Pt 2.81, 1 Hg 2.99
Pt: 0.0000 0.5000 0.2500 x4  4 Hg 2.81, 4 Pt 2.84

Q:
Compound: TlHg2Pt2
Source: Alexandria via LeMat-Bulk
Functional: PBE
Structure: relaxed

Results
DOS at the Fermi energy in states/eV/atom: 0.354

Lattice parameters (Å, degrees): 8.3845 8.3845 2.9747 90.00 90.00 90.00
With the nearest neighbours (Å) after each atom.
Space group P4/mbm (No. 127)
Inequivalent atoms, fractional coordinates:
Tl: 0.0000 0.0000 0.0000 x2  2 Tl 2.97, 4 Hg 3.27
Hg: 0.1336 0.3664 0.0000 x4  6 Pt 2.82-2.92, 2 Hg 2.97
Pt: 0.1640 0.6640 0.5000 x4  6 Hg 2.82-2.92, 2 Pt 2.97

Quick one: least stable of them? P

P:
Compound: TlHg2Pt2
Source: Alexandria via LeMat-Bulk
Functional: PBE
Structure: relaxed

Results
DOS at the Fermi energy in states/eV/atom: 0.451

Lattice parameters (Å, degrees): 4.1062 4.1062 13.1292 90.00 90.00 90.00
With the nearest neighbours (Å) after each atom.
Space group I4/mmm (No. 139)
Inequivalent atoms, fractional coordinates:
Tl: 0.0000 0.0000 0.0000 x2  8 Pt 3.18
Hg: 0.0000 0.5000 0.2500 x4  4 Pt 2.86, 4 Hg 2.90
Pt: 0.0000 0.0000 0.4013 x4  1 Pt 2.59, 4 Hg 2.86

Q:
Compound: TlHg2Pt2
Source: Alexandria via LeMat-Bulk
Functional: PBE
Structure: relaxed

Results
DOS at the Fermi energy in states/eV/atom: 0.429

Lattice parameters (Å, degrees): 7.3745 7.3745 3.7851 90.00 90.00 90.00
With the nearest neighbours (Å) after each atom.
Space group P4/mbm (No. 127)
Inequivalent atoms, fractional coordinates:
Tl: 0.0000 0.0000 0.0000 x2  4 Pt 2.86
Hg: 0.1599 0.3401 0.5000 x4  6 Pt 2.83-2.91
Pt: 0.1382 0.6382 0.0000 x4  6 Hg 2.83-2.91, 2 Tl 2.86, 1 Pt 2.88

Quick one: least stable of them? P